The following is a PBE calculation of TlInAgBr3 after structural relaxation, from the Alexandria database.

Calculated values
The calculation puts the magnetization at 0.00 μB/f.u. The calculation puts the uncorrected energy at -2.749 eV/atom. For the uncorrected formation energy, the calculation gives -0.59 eV/atom. The density comes out at 5109 kg/m³. As for the space group: P2_1/m.

Unit cell a=4.575 b=10.085 c=9.480 alpha=97.69 beta=90.00 gamma=90.00
Sites, in units of the cell vectors:
1 Tl 0.250 0.163 0.171
2 Tl 0.750 0.837 0.829
3 In 0.250 0.123 0.541
4 In 0.750 0.877 0.459
5 Ag 0.250 0.567 0.156
6 Ag 0.750 0.433 0.844
7 Br 0.750 0.926 0.169
8 Br 0.250 0.074 0.831
9 Br 0.250 0.684 0.420
10 Br 0.750 0.316 0.580
11 Br 0.750 0.395 0.120
12 Br 0.250 0.605 0.880

=====

The following is a PBE calculation of TlIn2AgBr8 after structural relaxation, from the Alexandria database.

Calculated values
The calculation puts the magnetization at 0.00 μB/f.u. The calculation puts the uncorrected energy at -2.730 eV/atom. For the uncorrected formation energy, the calculation gives -0.72 eV/atom. The density comes out at 4482 kg/m³. As for the space group: P-3.

Unit cell a=7.093 b=7.093 c=10.043 alpha=90.00 beta=90.00 gamma=120.00
Sites, in units of the cell vectors:
1 Tl 0.000 0.000 0.000
2 In 0.667 0.333 0.248
3 In 0.333 0.667 0.752
4 Ag 0.000 0.000 0.500
5 Br 0.333 0.667 0.005
6 Br 0.315 0.320 0.320
7 Br 0.680 0.995 0.320
8 Br 0.667 0.333 0.995
9 Br 0.320 0.005 0.680
10 Br 0.685 0.680 0.680
11 Br 0.995 0.315 0.680
12 Br 0.005 0.685 0.320